Here is Cs2Rb4Pd after structural relaxation from the Alexandria database. Energies are from PBE.

Lattice parameters (Å, degrees): 6.6937 6.6937 27.0013 90.00 90.00 90.00
With the nearest neighbours (Å) after each atom.
Space group I4/mmm (No. 139)
Symmetry-distinct sites (fractional):
Cs  0.0000  0.0000  0.1884 (multiplicity 4)  5 Rb 5.06-5.12
Rb  0.0000  0.0000  0.3781 (multiplicity 4)  1 Pd 3.29
Rb  0.0000  0.5000  0.0000 (multiplicity 4)  2 Pd 3.35
Pd  0.0000  0.0000  0.5000 (multiplicity 2)  6 Rb 3.29-3.35

Calculated values
The value obtained for the formation energy is 71 meV per atom. The calculation puts the magnetization at 0.00 μB per formula unit.

Here is CsRbPd2 after structural relaxation from the Alexandria database. Energies are from PBE.

Lattice parameters (Å, degrees): 8.0786 8.0786 8.0786 90.00 90.00 90.00
With the nearest neighbours (Å) after each atom.
Space group Fm-3m (No. 225)
Symmetry-distinct sites (fractional):
Cs  0.0000  0.0000  0.0000 (multiplicity 4)  8 Pd 3.50
Rb  0.0000  0.0000  0.5000 (multiplicity 4)  8 Pd 3.50
Pd  0.2500  0.2500  0.2500 (multiplicity 8)  4 Cs 3.50, 4 Rb 3.50

Calculated values
The value obtained for the formation energy is 475 meV per atom. The calculation puts the magnetization at 0.00 μB per formula unit.

Here is Cs12Rb7Pd after structural relaxation from the Alexandria database. Energies are from PBE.

Lattice parameters (Å, degrees): 22.9230 22.9230 12.9088 90.00 90.00 120.00
With the nearest neighbours (Å) after each atom.
Space group R-3 (No. 148, hexagonal axes)
Symmetry-distinct sites (fractional):
Cs  0.0178  0.1321  0.1541 (multiplicity 18)  1 Pd 3.47
Cs  0.0687  0.5610  0.1708 (multiplicity 18)  6 Rb 5.16-5.32, 6 Cs 5.29-5.50
Rb  0.0000  0.0000  0.5000 (multiplicity 3)  12 Cs 5.29
Rb  0.0386  0.2876  0.8283 (multiplicity 18)  3 Rb 5.15-5.19, 9 Cs 5.16-5.38
Pd  0.0000  0.0000  0.0000 (multiplicity 3)  6 Cs 3.47

Calculated values
The value obtained for the formation energy is 8 meV per atom. The calculation puts the magnetization at 0.00 μB per formula unit.

Here is CsRbPd4 after structural relaxation from the Alexandria database. Energies are from PBE.

Lattice parameters (Å, degrees): 8.1788 8.1788 8.1788 90.00 90.00 90.00
With the nearest neighbours (Å) after each atom.
Space group F-43m (No. 216)
Symmetry-distinct sites (fractional):
Cs  0.0000  0.0000  0.0000 (multiplicity 4)  12 Pd 3.39, 4 Rb 3.54
Rb  0.2500  0.2500  0.2500 (multiplicity 4)  12 Pd 3.39, 4 Cs 3.54
Pd  0.1247  0.1247  0.6247 (multiplicity 16)  6 Pd 2.89-2.90

Calculated values
The value obtained for the formation energy is 129 meV per atom. The calculation puts the magnetization at 0.01 μB per formula unit.

Here is Cs3Rb6Pd after structural relaxation from the Alexandria database. Energies are from PBE.

Lattice parameters (Å, degrees): 15.3597 15.3597 25.3373 90.00 90.00 120.00
With the nearest neighbours (Å) after each atom.
Space group R-3m (No. 166, hexagonal axes)
Symmetry-distinct sites (fractional):
Cs  0.1047  0.5523  0.4106 (multiplicity 18)  9 Rb 5.05-5.32, 3 Cs 5.27-5.32
Rb  0.1020  0.2039  0.0797 (multiplicity 18)  1 Pd 3.38
Rb  0.1049  0.2099  0.4265 (multiplicity 18)  1 Pd 3.36
Pd  0.0000  0.0000  0.0000 (multiplicity 3)  6 Rb 3.38
Pd  0.0000  0.0000  0.5000 (multiplicity 3)  6 Rb 3.36

Calculated values
The value obtained for the formation energy is 43 meV per atom. The calculation puts the magnetization at 0.00 μB per formula unit.

Here is Cs6Rb9Pd after structural relaxation from the Alexandria database. Energies are from PBE.

Lattice parameters (Å, degrees): 11.4717 11.4717 22.0275 90.00 90.00 90.00
With the nearest neighbours (Å) after each atom.
Space group I4/m (No. 87)
Symmetry-distinct sites (fractional):
Cs  0.0000  0.0000  0.1572 (multiplicity 4)  1 Pd 3.46
Cs  0.0974  0.7131  0.0000 (multiplicity 8)  1 Pd 3.48
Rb  0.0000  0.0000  0.5000 (multiplicity 2)  8 Rb 5.16, 4 Cs 5.23
Rb  0.0859  0.7051  0.3289 (multiplicity 16)  7 Rb 4.98-5.23, 5 Cs 5.17-5.33
Pd  0.0000  0.0000  0.0000 (multiplicity 2)  6 Cs 3.46-3.48

Calculated values
The value obtained for the formation energy is 10 meV per atom. The calculation puts the magnetization at 0.00 μB per formula unit.

Here is Cs2RbPdRh after structural relaxation from the Alexandria database. Energies are from PBE.

Lattice parameters (Å, degrees): 7.3377 7.3377 5.3928 90.00 90.00 90.00
With the nearest neighbours (Å) after each atom.
Space group P4/mmm (No. 123)
Symmetry-distinct sites (fractional):
Cs  0.0000  0.5000  0.0000 (multiplicity 2)  2 Rb 3.67
Rb  0.0000  0.0000  0.0000 (multiplicity 1)  2 Pd 2.70
Pd  0.0000  0.0000  0.5000 (multiplicity 1)  2 Rb 2.70
Rh  0.5000  0.5000  0.5000 (multiplicity 1)  8 Cs 4.55

Calculated values
The value obtained for the formation energy is 1088 meV per atom. The calculation puts the magnetization at 1.54 μB per formula unit.

Here is Cs2RbSbPd after structural relaxation from the Alexandria database. Energies are from PBE.

Lattice parameters (Å, degrees): 6.8454 6.8454 5.2271 90.00 90.00 90.00
With the nearest neighbours (Å) after each atom.
Space group P4/mmm (No. 123)
Symmetry-distinct sites (fractional):
Cs  0.0000  0.5000  0.0000 (multiplicity 2)  2 Pd 3.42
Rb  0.0000  0.0000  0.5000 (multiplicity 1)  8 Cs 4.31
Sb  0.5000  0.5000  0.5000 (multiplicity 1)  2 Pd 2.61
Pd  0.5000  0.5000  0.0000 (multiplicity 1)  2 Sb 2.61

Calculated values
The calculation puts the magnetization at 0.25 μB per formula unit. The calculation puts the formation energy from raw total energies at -173.5 meV/atom.

Here is CsRbTePdSe after structural relaxation from the Alexandria database. Energies are from PBE.

Lattice parameters (Å, degrees): 13.5212 4.4013 8.5374 90.00 128.32 90.00
With the nearest neighbours (Å) after each atom.
Space group Cm (No. 8)
Symmetry-distinct sites (fractional):
Cs  0.0000  0.0000  0.0000 (multiplicity 2)  3 Se 3.75-3.81, 3 Te 3.80-3.88, 3 Pd 3.84-3.88
Rb  0.4590  0.0000  0.4579 (multiplicity 2)  3 Se 3.68-3.79, 3 Te 3.77-3.97, 3 Pd 3.82
Te  0.2210  0.0000  0.8660 (multiplicity 2)  1 Pd 2.56
Pd  0.2279  0.0000  0.5735 (multiplicity 2)  2 Se 2.44, 1 Te 2.56
Se  0.2285  0.5000  0.4517 (multiplicity 2)  2 Pd 2.44

Calculated values
As for the relative energy among the computed polymorphs: 134 meV/atom. The calculation puts the magnetization at 0.00 μB per formula unit. The calculation puts the formation energy from raw total energies at -701.7 meV/atom.

Here is CsRbTePdSe after structural relaxation from the Alexandria database. Energies are from PBE.

Lattice parameters (Å, degrees): 13.1724 4.5992 8.6054 90.00 125.31 90.00
With the nearest neighbours (Å) after each atom.
Space group Cm (No. 8)
Symmetry-distinct sites (fractional):
Cs  0.0000  0.0000  0.0000 (multiplicity 2)  3 Se 3.71-4.00, 3 Pd 3.95-4.09, 3 Te 3.96-4.00
Rb  0.4938  0.0000  0.4672 (multiplicity 2)  2 Se 3.54, 3 Te 3.67-3.81, 3 Pd 3.70-3.71
Te  0.2538  0.0000  0.5585 (multiplicity 2)  2 Pd 2.60
Pd  0.2557  0.5000  0.4193 (multiplicity 2)  1 Se 2.40, 2 Te 2.60
Se  0.2618  0.5000  0.1462 (multiplicity 2)  1 Pd 2.40

Calculated values
As for the relative energy among the computed polymorphs: 150 meV/atom. The calculation puts the magnetization at 0.00 μB per formula unit. The calculation puts the formation energy from raw total energies at -686.1 meV/atom.

Here is CsRbTePdSe after structural relaxation from the Alexandria database. Energies are from PBE.

Lattice parameters (Å, degrees): 6.3236 3.9888 7.4761 90.00 109.23 90.00
With the nearest neighbours (Å) after each atom.
Space group Pm (No. 6)
Symmetry-distinct sites (fractional):
Cs  0.0000  0.0000  0.0000 (multiplicity 1)  1 Pd 3.44, 4 Se 3.65-3.85
Rb  0.3602  0.0000  0.6191 (multiplicity 1)  2 Se 3.56, 1 Pd 3.68, 4 Te 3.84, 2 Rb 3.99
Te  0.8118  0.5000  0.4953 (multiplicity 1)  2 Pd 2.65
Pd  0.6405  0.0000  0.2591 (multiplicity 1)  2 Se 2.57, 2 Te 2.65
Se  0.4959  0.5000  0.0365 (multiplicity 1)  2 Pd 2.57

Calculated values
As for the relative energy among the computed polymorphs: 12 meV/atom. The calculation puts the magnetization at 0.00 μB per formula unit. The calculation puts the formation energy from raw total energies at -824.2 meV/atom.

Here is CsRbTePdSe after structural relaxation from the Alexandria database. Energies are from PBE.

Lattice parameters (Å, degrees): 6.1243 6.2844 6.7895 117.37 111.41 94.61
With the nearest neighbours (Å) after each atom.
Space group P1 (No. 1)
Symmetry-distinct sites (fractional):
Cs  0.0000  0.0000  0.0000 (multiplicity 1)  2 Pd 3.44-3.64, 2 Se 3.76-3.84, 1 Te 3.80
Rb  0.5694  0.5734  0.1448 (multiplicity 1)  2 Pd 3.34-3.66, 2 Te 3.60-3.70
Te  0.6082  0.2261  0.5712 (multiplicity 1)  1 Pd 2.58, 1 Se 2.69
Pd  0.4219  0.5801  0.5748 (multiplicity 1)  1 Se 2.44, 1 Te 2.58
Se  0.2658  0.9195  0.5597 (multiplicity 1)  1 Pd 2.44, 1 Te 2.69

Calculated values
As for the relative energy among the computed polymorphs: 200 meV/atom. The calculation puts the magnetization at 0.00 μB per formula unit. The calculation puts the formation energy from raw total energies at -635.6 meV/atom.